Entry 1:
A relaxed LiRuPt2 crystal, computed with GGA-PBE.

Lattice parameters (Å, degrees): 6.1820 6.1820 6.1820 90.00 90.00 90.00
Space group Fm-3m (No. 225)
Symmetry-distinct sites (fractional):
Li: 0.0000 0.0000 0.0000
Ru: 0.0000 0.0000 0.5000
Pt: 0.2500 0.2500 0.2500

Properties
mass density = 14.0 g cm⁻³
calculated formation energy = -5 meV/atom
DFT total energy = -5.823 eV/atom



Entry 2:
A relaxed LiRu2Pt crystal, computed with GGA-PBE.

Lattice parameters (Å, degrees): 3.6337 3.6337 4.1919 90.00 90.00 90.00
Space group P4/mmm (No. 123)
Symmetry-distinct sites (fractional):
Li: 0.0000 0.0000 0.0000
Ru: 0.0000 0.5000 0.5000
Pt: 0.5000 0.5000 0.0000

Properties
mass density = 12.1 g cm⁻³
calculated formation energy = 72 meV/atom
DFT total energy = -6.555 eV/atom



Entry 3:
A relaxed LiRu2Pt crystal, computed with GGA-PBE.

Lattice parameters (Å, degrees): 3.8359 3.8359 7.4975 90.00 90.00 90.00
Space group I-4m2 (No. 119)
Symmetry-distinct sites (fractional):
Li: 0.0000 0.0000 0.0000
Ru: 0.0000 0.0000 0.5000
Ru: 0.0000 0.5000 0.7500
Pt: 0.0000 0.5000 0.2500

Properties
mass density = 12.2 g cm⁻³
calculated formation energy = 33 meV/atom
DFT total energy = -6.594 eV/atom



Entry 4:
A relaxed Li2RuPt crystal, computed with GGA-PBE.

Lattice parameters (Å, degrees): 6.7764 6.7764 4.9992 90.00 90.00 90.00
Space group I-42d (No. 122)
Symmetry-distinct sites (fractional):
Li: 0.2457 0.7500 0.1250
Ru: 0.0000 0.0000 0.5000
Pt: 0.0000 0.0000 0.0000

Properties
mass density = 9.0 g cm⁻³
calculated formation energy = 337 meV/atom
DFT total energy = -4.449 eV/atom



Entry 5:
A relaxed Li2RuPt crystal, computed with GGA-PBE.

Lattice parameters (Å, degrees): 2.6051 2.6051 8.2829 90.00 90.00 90.00
Space group P4/mmm (No. 123)
Symmetry-distinct sites (fractional):
Li: 0.0000 0.0000 0.2380
Ru: 0.5000 0.5000 0.5000
Pt: 0.5000 0.5000 0.0000

Properties
mass density = 9.2 g cm⁻³
calculated formation energy = -88 meV/atom
DFT total energy = -4.874 eV/atom



Entry 6:
A relaxed LiRuPt2 crystal, computed with GGA-PBE.

Lattice parameters (Å, degrees): 9.0721 2.6947 4.7807 90.00 97.83 90.00
Space group C2/m (No. 12)
Symmetry-distinct sites (fractional):
Li: 0.0000 0.0000 0.0000
Ru: 0.0000 0.5000 0.5000
Pt: 0.2451 0.0000 0.7481

Properties
mass density = 14.3 g cm⁻³
calculated formation energy = -110 meV/atom
DFT total energy = -5.928 eV/atom



Entry 7:
A relaxed LiRuPt2 crystal, computed with GGA-PBE.

Lattice parameters (Å, degrees): 2.7380 2.7380 7.7881 90.00 90.00 90.00
Space group P4/mmm (No. 123)
Symmetry-distinct sites (fractional):
Li: 0.0000 0.0000 0.0000
Ru: 0.0000 0.0000 0.5000
Pt: 0.5000 0.5000 0.2553

Properties
mass density = 14.2 g cm⁻³
calculated formation energy = -200 meV/atom
DFT total energy = -6.017 eV/atom



Entry 8:
A relaxed Li2RuPt2 crystal, computed with GGA-PBE.

Lattice parameters (Å, degrees): 7.3163 7.3163 2.6540 90.00 90.00 90.00
Space group P4/mbm (No. 127)
Symmetry-distinct sites (fractional):
Li: 0.1229 0.3771 0.0000
Ru: 0.0000 0.0000 0.5000
Pt: 0.1761 0.6761 0.5000

Properties
mass density = 11.8 g cm⁻³
calculated formation energy = -46 meV/atom
DFT total energy = -5.083 eV/atom



Entry 9:
A relaxed Li2RuPt crystal, computed with GGA-PBE.

Lattice parameters (Å, degrees): 3.7072 3.7072 4.1114 90.00 90.00 90.00
Space group P4/mmm (No. 123)
Symmetry-distinct sites (fractional):
Li: 0.0000 0.5000 0.0000
Ru: 0.0000 0.0000 0.5000
Pt: 0.5000 0.5000 0.5000

Properties
mass density = 9.1 g cm⁻³
calculated formation energy = -18 meV/atom
DFT total energy = -4.804 eV/atom



Entry 10:
A relaxed LiRuPt2 crystal, computed with GGA-PBE.

Lattice parameters (Å, degrees): 2.7211 4.4390 10.2544 90.00 90.00 90.00
Space group Imm2 (No. 44)
Symmetry-distinct sites (fractional):
Li: 0.0000 0.0000 0.0000
Ru: 0.0000 0.5000 0.2069
Pt: 0.0000 0.0000 0.4926
Pt: 0.0000 0.5000 0.7626

Properties
mass density = 13.4 g cm⁻³
calculated formation energy = -103 meV/atom
DFT total energy = -5.921 eV/atom



Entry 11:
A relaxed LiRu2Pt crystal, computed with GGA-PBE.

Lattice parameters (Å, degrees): 2.7810 2.7810 7.1124 90.00 90.00 90.00
Space group P4mm (No. 99)
Symmetry-distinct sites (fractional):
Li: 0.0000 0.0000 0.0000
Ru: 0.0000 0.0000 0.5113
Ru: 0.5000 0.5000 0.7457
Pt: 0.5000 0.5000 0.2311

Properties
mass density = 12.2 g cm⁻³
calculated formation energy = -17 meV/atom
DFT total energy = -6.643 eV/atom



Entry 12:
A relaxed LiSbRuPt crystal, computed with GGA-PBE.

Lattice parameters (Å, degrees): 6.2417 6.2417 6.2417 90.00 90.00 90.00
Space group F-43m (No. 216)
Symmetry-distinct sites (fractional):
Li: 0.0000 0.0000 0.0000
Sb: 0.0000 0.0000 0.5000
Ru: 0.2500 0.2500 0.2500
Pt: 0.2500 0.2500 0.7500

Properties
E_form (uncorrected) = -0.350 eV/atom
mass density = 11.6 g cm⁻³
DFT total energy = -5.689 eV/atom